Entry 1:
This record from Alexandria describes an optimized crystal structure of La3Tb2Sm6Y. The functional is PBE.

Properties
The calculation puts the density of states at the Fermi level at 1.62 states/eV/atom. For the calculated total energy, the calculation gives -4.882 eV per atom.

Cell lengths 6.3139, 6.3139, 12.0858 Å; angles 95.01, 95.01, 120.04 degrees
Fractional coordinates of all 12 atoms:
La 0.0000 0.0000 0.0000
La 0.3333 0.6667 0.0000
La 0.6667 0.3333 0.0000
Tb 0.1666 0.8334 0.5000
Tb 0.8334 0.1666 0.5000
Sm 0.0844 0.4186 0.2554
Sm 0.2473 0.2473 0.7446
Sm 0.4186 0.0844 0.2554
Sm 0.5814 0.9156 0.7446
Sm 0.7527 0.7527 0.2554
Sm 0.9156 0.5814 0.7446
Y 0.5000 0.5000 0.5000

Entry 2:
This record from Alexandria describes an optimized crystal structure of LaTb2SmY6. The functional is PBE.

Properties
The calculation puts the density of states at the Fermi level at 1.62 states/eV/atom. For the calculated total energy, the calculation gives -5.650 eV per atom.

Cell lengths 8.8608, 8.8608, 9.6451 Å; angles 93.66, 93.66, 117.37 degrees
Fractional coordinates of all 20 atoms:
La 0.0280 0.9720 0.7500
La 0.9720 0.0280 0.2500
Tb 0.1950 0.2983 0.5495
Tb 0.2983 0.1950 0.0495
Tb 0.7017 0.8050 0.9505
Tb 0.8050 0.7017 0.4505
Sm 0.4095 0.5905 0.2500
Sm 0.5905 0.4095 0.7500
Y 0.0177 0.5635 0.6805
Y 0.1203 0.7493 0.0579
Y 0.2507 0.8797 0.4421
Y 0.2946 0.5122 0.8848
Y 0.4365 0.9823 0.8195
Y 0.4878 0.7054 0.6152
Y 0.5122 0.2946 0.3848
Y 0.5635 0.0177 0.1805
Y 0.7054 0.4878 0.1152
Y 0.7493 0.1203 0.5579
Y 0.8797 0.2507 0.9421
Y 0.9823 0.4365 0.3195

Entry 3:
This record from Alexandria describes an optimized crystal structure of LaTb2Sm3Y6. The functional is PBE.

Properties
The calculation puts the density of states at the Fermi level at 1.32 states/eV/atom. For the calculated total energy, the calculation gives -5.578 eV per atom.

Cell lengths 6.2385, 6.2385, 11.8858 Å; angles 95.00, 95.00, 119.98 degrees
Fractional coordinates of all 12 atoms:
La 0.0000 0.0000 0.0000
Tb 0.3334 0.6666 0.0000
Tb 0.6666 0.3334 0.0000
Sm 0.1670 0.8330 0.5000
Sm 0.5000 0.5000 0.5000
Sm 0.8330 0.1670 0.5000
Y 0.0842 0.4185 0.2505
Y 0.2505 0.2505 0.7494
Y 0.4185 0.0842 0.2505
Y 0.5815 0.9158 0.7495
Y 0.7495 0.7495 0.2506
Y 0.9158 0.5815 0.7495

Entry 4:
This record from Alexandria describes an optimized crystal structure of LaTbSm6Y2. The functional is PBE.

Properties
The calculation puts the density of states at the Fermi level at 1.50 states/eV/atom. For the calculated total energy, the calculation gives -4.958 eV per atom.

Cell lengths 8.9401, 8.9401, 9.6489 Å; angles 93.61, 93.61, 116.97 degrees
Fractional coordinates of all 20 atoms:
La 0.0938 0.9062 0.7500
La 0.9062 0.0938 0.2500
Tb 0.4660 0.5340 0.2500
Tb 0.5340 0.4660 0.7500
Sm 0.0162 0.7943 0.3816
Sm 0.0651 0.5188 0.1817
Sm 0.2057 0.9838 0.1184
Sm 0.2602 0.6105 0.5572
Sm 0.3895 0.7398 0.9428
Sm 0.4812 0.9349 0.3183
Sm 0.5188 0.0651 0.6817
Sm 0.6105 0.2602 0.0572
Sm 0.7398 0.3895 0.4428
Sm 0.7943 0.0162 0.8816
Sm 0.9349 0.4812 0.8183
Sm 0.9838 0.2057 0.6184
Y 0.2071 0.3033 0.9516
Y 0.3033 0.2071 0.4516
Y 0.6967 0.7929 0.5484
Y 0.7929 0.6967 0.0484

Entry 5:
This record from Alexandria describes an optimized crystal structure of La6TbSmY2. The functional is PBE.

Properties
The calculation puts the density of states at the Fermi level at 1.92 states/eV/atom. For the calculated total energy, the calculation gives -4.992 eV per atom.

Cell lengths 6.7492, 6.7492, 9.0409 Å; angles 101.96, 101.96, 63.98 degrees
Fractional coordinates of all 10 atoms:
La 0.0965 0.5403 0.1962
La 0.1359 0.1359 0.4318
La 0.4597 0.9035 0.8038
La 0.5403 0.0965 0.1962
La 0.8641 0.8641 0.5682
La 0.9035 0.4597 0.8038
Tb 0.0000 0.0000 0.0000
Sm 0.5000 0.5000 0.5000
Y 0.4117 0.4117 0.8351
Y 0.5883 0.5883 0.1649

Entry 6:
This record from Alexandria describes an optimized crystal structure of La5TbSmY2. The functional is PBE.

Properties
The calculation puts the density of states at the Fermi level at 1.75 states/eV/atom. For the calculated total energy, the calculation gives -4.918 eV per atom.

Cell lengths 9.8029, 9.8029, 9.8029 Å; angles 121.73, 121.73, 87.03 degrees
Fractional coordinates of all 18 atoms:
La 0.0000 0.0000 0.0000
La 0.0636 0.5636 0.9033
La 0.1603 0.0636 0.5000
La 0.3397 0.8397 0.9033
La 0.4364 0.3397 0.5000
La 0.5000 0.5000 0.0000
La 0.5636 0.6603 0.5000
La 0.6603 0.1603 0.0967
La 0.8397 0.9364 0.5000
La 0.9364 0.4364 0.0967
Tb 0.2500 0.7500 0.5000
Tb 0.7500 0.2500 0.5000
Sm 0.2500 0.2500 0.0000
Sm 0.7500 0.7500 0.0000
Y 0.1087 0.3913 0.5000
Y 0.3913 0.8913 0.2826
Y 0.6087 0.1087 0.7174
Y 0.8913 0.6087 0.5000

Entry 7:
This record from Alexandria describes an optimized crystal structure of LaTbSmY3. The functional is PBE.

Properties
The calculation puts the density of states at the Fermi level at 2.17 states/eV/atom. For the calculated total energy, the calculation gives -5.501 eV per atom.

Cell lengths 6.4274, 6.4274, 11.8821 Å; angles 90.00, 90.00, 125.01 degrees
Fractional coordinates of all 12 atoms:
La 0.0019 0.9981 0.7500
La 0.9981 0.0019 0.2500
Tb 0.3283 0.6717 0.7500
Tb 0.6717 0.3283 0.2500
Sm 0.5000 0.5000 0.0000
Sm 0.5000 0.5000 0.5000
Y 0.1735 0.8265 0.0007
Y 0.1735 0.8265 0.4993
Y 0.3295 0.6705 0.2500
Y 0.6705 0.3295 0.7500
Y 0.8265 0.1735 0.5007
Y 0.8265 0.1735 0.9993

Entry 8:
This record from Alexandria describes an optimized crystal structure of La2Tb2Sm4Y. The functional is PBE.

Properties
The calculation puts the density of states at the Fermi level at 1.40 states/eV/atom. For the calculated total energy, the calculation gives -4.935 eV per atom.

Cell lengths 9.6836, 9.6836, 9.7327 Å; angles 115.23, 115.23, 21.85 degrees
Fractional coordinates of all 9 atoms:
La 0.1660 0.1660 0.4981
La 0.8340 0.8340 0.5019
Tb 0.3525 0.3525 0.8353
Tb 0.6475 0.6475 0.1647
Sm 0.0193 0.0193 0.8362
Sm 0.3141 0.3141 0.1646
Sm 0.6859 0.6859 0.8354
Sm 0.9807 0.9807 0.1638
Y 0.5000 0.5000 0.5000

Entry 9:
This record from Alexandria describes an optimized crystal structure of La6Tb2SmY. The functional is PBE.

Properties
The calculation puts the density of states at the Fermi level at 1.13 states/eV/atom. For the calculated total energy, the calculation gives -4.891 eV per atom.

Cell lengths 9.1040, 9.1040, 9.2987 Å; angles 91.32, 91.32, 114.22 degrees
Fractional coordinates of all 20 atoms:
La 0.0204 0.4588 0.8194
La 0.0783 0.7725 0.5853
La 0.2275 0.9217 0.9147
La 0.2870 0.5599 0.3966
La 0.4401 0.7130 0.1034
La 0.4588 0.0204 0.3194
La 0.5412 0.9796 0.6806
La 0.5599 0.2870 0.8966
La 0.7130 0.4401 0.6034
La 0.7725 0.0783 0.0853
La 0.9217 0.2275 0.4147
La 0.9796 0.5412 0.1806
Tb 0.2039 0.2940 0.0648
Tb 0.2940 0.2039 0.5648
Tb 0.7060 0.7961 0.4352
Tb 0.7961 0.7060 0.9352
Sm 0.0612 0.9388 0.2500
Sm 0.9388 0.0612 0.7500
Y 0.4225 0.5775 0.7500
Y 0.5775 0.4225 0.2500

Entry 10:
This record from Alexandria describes an optimized crystal structure of LaTb2Sm2Y4. The functional is PBE.

Properties
The calculation puts the density of states at the Fermi level at 1.44 states/eV/atom. For the calculated total energy, the calculation gives -5.501 eV per atom.

Cell lengths 9.6029, 9.6029, 9.6470 Å; angles 115.22, 115.22, 21.81 degrees
Fractional coordinates of all 9 atoms:
La 0.0000 0.0000 0.0000
Tb 0.1480 0.1480 0.6647
Tb 0.8520 0.8520 0.3353
Sm 0.3322 0.3322 0.0001
Sm 0.6678 0.6678 0.9999
Y 0.1862 0.1862 0.3361
Y 0.4807 0.4807 0.6628
Y 0.5193 0.5193 0.3372
Y 0.8138 0.8138 0.6639

Number 1: formation energy from the elements 0.24 eV/f.u., magnetic moment 0.00 μB per formula unit. Number 2: formation energy from the elements 1.19 eV/f.u., magnetic moment 0.00 μB per formula unit. Number 3: formation energy from the elements 0.19 eV/f.u., magnetic moment 0.00 μB per formula unit. Number 4: formation energy from the elements 1.22 eV/f.u., magnetic moment 0.00 μB per formula unit. Number 5: formation energy from the elements 1.92 eV/f.u., magnetic moment 0.00 μB per formula unit. Number 6: formation energy from the elements 2.65 eV/f.u., magnetic moment 0.00 μB per formula unit. Number 7: formation energy from the elements 0.66 eV/f.u., magnetic moment 0.00 μB per formula unit. Number 8: formation energy from the elements 0.04 eV/f.u., magnetic moment 0.00 μB per formula unit. Number 9: formation energy from the elements 1.10 eV/f.u., magnetic moment 0.00 μB per formula unit. Number 10: formation energy from the elements -0.03 eV/f.u., magnetic moment 0.00 μB per formula unit.